Computed, not measured: a relaxed Ti2Tc4Mo crystal at the GGA-PBE level of DFT.

a = 7.055 Å, b = 7.055 Å, c = 7.055 Å
α = 141.88°, β = 141.88°, γ = 55.00°
Fractional coordinates of all 7 atoms:
Ti 0.126 0.126 0.000
Ti 0.874 0.874 0.000
Tc 0.000 0.500 0.500
Tc 0.307 0.307 0.000
Tc 0.500 0.000 0.500
Tc 0.693 0.693 0.000
Mo 0.500 0.500 0.000

Output
Energy relative to the elements in eV per atom: 1.066
N(E_F) in states/eV/f.u.: 4.98
Energy above the most stable polymorph in this dataset in eV/atom: 0.910
Volume in Å³ per atom: 18.98

***

Computed, not measured: a relaxed TiTcMo4 crystal at the GGA-PBE level of DFT.

a = 5.402 Å, b = 4.458 Å, c = 8.212 Å
α = 90.00°, β = 109.02°, γ = 90.00°
Fractional coordinates of all 12 atoms:
Ti 0.124 0.250 0.249
Ti 0.876 0.750 0.751
Tc 0.374 0.750 0.749
Tc 0.626 0.250 0.251
Mo 0.042 0.750 0.420
Mo 0.210 0.750 0.084
Mo 0.288 0.250 0.918
Mo 0.462 0.250 0.587
Mo 0.538 0.750 0.413
Mo 0.712 0.750 0.082
Mo 0.790 0.250 0.916
Mo 0.958 0.250 0.580

Output
Energy relative to the elements in eV per atom: -0.163
N(E_F) in states/eV/f.u.: 2.96
Volume in Å³ per atom: 15.58

***

Computed, not measured: a relaxed TiTc3Mo crystal at the GGA-PBE level of DFT.

a = 4.438 Å, b = 4.438 Å, c = 4.438 Å
α = 90.00°, β = 90.00°, γ = 90.00°
Fractional coordinates of all 5 atoms:
Ti 0.000 0.000 0.000
Tc 0.000 0.000 0.500
Tc 0.000 0.500 0.000
Tc 0.500 0.000 0.000
Mo 0.500 0.500 0.500

Output
Energy relative to the elements in eV per atom: 1.365
N(E_F) in states/eV/f.u.: 3.74
Energy above the most stable polymorph in this dataset in eV/atom: 0.000
Volume in Å³ per atom: 17.48

***

Computed, not measured: a relaxed TiTc4Mo crystal at the GGA-PBE level of DFT.

a = 5.108 Å, b = 5.108 Å, c = 5.108 Å
α = 60.00°, β = 60.00°, γ = 60.00°
Fractional coordinates of all 6 atoms:
Ti 0.000 0.000 0.000
Tc 0.123 0.626 0.626
Tc 0.626 0.123 0.626
Tc 0.626 0.626 0.123
Tc 0.626 0.626 0.626
Mo 0.250 0.250 0.250

Output
Energy relative to the elements in eV per atom: 0.028
N(E_F) in states/eV/f.u.: 8.36
Volume in Å³ per atom: 15.71

***

Computed, not measured: a relaxed Ti4TcMo2 crystal at the GGA-PBE level of DFT.

a = 7.119 Å, b = 7.119 Å, c = 6.936 Å
α = 118.69°, β = 118.69°, γ = 21.88°
Fractional coordinates of all 7 atoms:
Ti 0.071 0.071 0.220
Ti 0.357 0.357 0.071
Ti 0.643 0.643 0.929
Ti 0.929 0.929 0.780
Tc 0.000 0.000 0.500
Mo 0.218 0.218 0.650
Mo 0.782 0.782 0.350

Output
Energy relative to the elements in eV per atom: 0.082
N(E_F) in states/eV/f.u.: 9.04
Volume in Å³ per atom: 16.32

***

Computed, not measured: a relaxed TiTcMo crystal at the GGA-PBE level of DFT.

a = 5.239 Å, b = 5.239 Å, c = 5.239 Å
α = 145.48°, β = 145.48°, γ = 49.62°
Fractional coordinates of all 3 atoms:
Ti 0.000 0.000 0.000
Tc 0.666 0.666 0.000
Mo 0.326 0.326 0.000

Output
Energy relative to the elements in eV per atom: -0.328
N(E_F) in states/eV/f.u.: 2.05
Energy above the most stable polymorph in this dataset in eV/atom: 0.054
Volume in Å³ per atom: 15.32

***

Computed, not measured: a relaxed TiTc3Mo2 crystal at the GGA-PBE level of DFT.

a = 3.114 Å, b = 3.114 Å, c = 9.379 Å
α = 90.00°, β = 90.00°, γ = 90.00°
Fractional coordinates of all 6 atoms:
Ti 0.000 0.000 0.000
Tc 0.500 0.500 0.167
Tc 0.500 0.500 0.500
Tc 0.500 0.500 0.833
Mo 0.000 0.000 0.329
Mo 0.000 0.000 0.671

Output
Energy relative to the elements in eV per atom: -0.197
N(E_F) in states/eV/f.u.: 3.61
Energy above the most stable polymorph in this dataset in eV/atom: 0.004
Volume in Å³ per atom: 15.15

***

Computed, not measured: a relaxed Ti3Tc4Mo3 crystal at the GGA-PBE level of DFT.

a = 3.089 Å, b = 7.191 Å, c = 7.191 Å
α = 89.65°, β = 90.00°, γ = 90.00°
Fractional coordinates of all 10 atoms:
Ti 0.000 0.000 0.000
Ti 0.000 0.539 0.880
Ti 0.000 0.880 0.539
Tc 0.500 0.009 0.295
Tc 0.500 0.295 0.009
Tc 0.500 0.532 0.532
Tc 0.500 0.811 0.811
Mo 0.000 0.326 0.326
Mo 0.500 0.205 0.671
Mo 0.500 0.671 0.205

Output
Energy relative to the elements in eV per atom: 0.134
N(E_F) in states/eV/f.u.: 9.12
Volume in Å³ per atom: 15.97